(1)
# Na2Pt2Au, relaxed, DFT PBE-GGA
# total energy	-3.231	eV per atom
# calculated formation energy	369	meV per atom
# SG	No. 139
# DOS(E_F)	0.358	states/eV/atom
# total magnetic moment	0.00	μB per cell
data_Na2Pt2Au
_cell_length_a 3.655
_cell_length_b 3.655
_cell_length_c 7.542
_cell_angle_alpha 75.97
_cell_angle_beta 75.97
_cell_angle_gamma 90.00
_symmetry_space_group_name_H-M 'P 1'
_symmetry_Int_Tables_number 1
_symmetry_space_group_name_Hall 'P 1'
loop_
_atom_site_label
_atom_site_type_symbol
_atom_site_fract_x
_atom_site_fract_y
_atom_site_fract_z
Na1 Na 0.750 0.250 0.500
Pt1 Pt 0.407 0.407 0.186
Na2 Na 0.250 0.750 0.500
Au1 Au 0.000 0.000 0.000
Pt2 Pt 0.593 0.593 0.814

(2)
# LiTm3Os2, relaxed, DFT PBE-GGA
# total energy	-6.484	eV per atom
# calculated formation energy	-186	meV per atom
# SG	No. 65
# DOS(E_F)	0.492	states/eV/atom
# total magnetic moment	0.00	μB per cell
data_LiTm3Os2
_cell_length_a 3.404
_cell_length_b 4.863
_cell_length_c 7.618
_cell_angle_alpha 108.61
_cell_angle_beta 90.00
_cell_angle_gamma 90.00
_symmetry_space_group_name_H-M 'P 1'
_symmetry_Int_Tables_number 1
_symmetry_space_group_name_Hall 'P 1'
loop_
_atom_site_label
_atom_site_type_symbol
_atom_site_fract_x
_atom_site_fract_y
_atom_site_fract_z
Tm1 Tm 0.500 0.824 0.648
Os1 Os 0.000 0.338 0.676
Tm2 Tm 0.500 0.500 0.000
Os2 Os 0.000 0.662 0.324
Li1 Li 0.000 0.000 0.000
Tm3 Tm 0.500 0.176 0.352

(3)
# TbNdTm4S8, relaxed, DFT PBE-GGA
# total energy	-6.223	eV per atom
# SG	No. 160
# DOS(E_F)	0.582	states/eV/atom
# total magnetic moment	0.00	μB per cell
# raw formation energy	-185	kJ/mol of atoms
data_TbNdTm4S8
_cell_length_a 8.009
_cell_length_b 8.009
_cell_length_c 8.042
_cell_angle_alpha 60.14
_cell_angle_beta 60.14
_cell_angle_gamma 60.00
_symmetry_space_group_name_H-M 'P 1'
_symmetry_Int_Tables_number 1
_symmetry_space_group_name_Hall 'P 1'
loop_
_atom_site_label
_atom_site_type_symbol
_atom_site_fract_x
_atom_site_fract_y
_atom_site_fract_z
S1 S 0.231 0.753 0.262
Tm1 Tm 0.626 0.626 0.123
S2 S 0.237 0.237 0.289
S3 S 0.785 0.241 0.733
Tm2 Tm 0.999 0.999 0.499
S4 S 0.753 0.753 0.262
Tb1 Tb 0.999 0.999 0.002
S5 S 0.241 0.785 0.733
Tm3 Tm 0.502 0.999 0.499
Tm4 Tm 0.999 0.502 0.499
S6 S 0.241 0.241 0.733
Nd1 Nd 0.374 0.374 0.878
S7 S 0.753 0.231 0.262
S8 S 0.758 0.758 0.727

What is the formula in the first record? Na2Pt2Au

DOS(E_F) of number 1 (Na2Pt2Au)? 0.358 states/eV/atom